A geometry-optimized Ba2TlHg structure, computed with PBE.

The density of states at the Fermi level comes out at 1.11 states/eV per atom. The crystal system is trigonal. The formation enthalpy at 0 K comes out at -299.6 meV per atom. For the total energy, the calculation gives -7.712 eV per cell.

Unit cell a=10.395 b=10.395 c=10.395 alpha=24.80 beta=24.80 gamma=24.80
Sites, in units of the cell vectors:
Hg1 0.250 0.250 0.250
Tl1 0.750 0.750 0.750
Ba1 0.998 0.998 0.998
Ba2 0.502 0.502 0.502



A geometry-optimized GdCdAgGe structure, computed with PBE.

The density of states at the Fermi level comes out at 0.41 states/eV per atom. The crystal system is cubic. The formation enthalpy at 0 K comes out at -318.9 meV per atom. For the total energy, the calculation gives -23.740 eV per cell.

Unit cell a=4.969 b=4.969 c=4.969 alpha=60.00 beta=60.00 gamma=60.00
Last column: magnetic moment on the atom in μB.
Sites, in units of the cell vectors:
Ag1 0.750 0.750 0.750  -0.01
Cd1 0.500 0.500 0.500  -0.01
Gd1 0.000 0.000 0.000  6.96
Ge1 0.250 0.250 0.250  -0.03



A geometry-optimized CaZr2Tl structure, computed with PBE.

The density of states at the Fermi level comes out at 0.73 states/eV per atom. The crystal system is orthorhombic. The formation enthalpy at 0 K comes out at 14.8 meV per atom. For the total energy, the calculation gives -21.405 eV per cell.

Unit cell a=4.086 b=3.381 c=8.287 alpha=65.87 beta=90.00 gamma=90.00
Sites, in units of the cell vectors:
Zr1 0.000 0.996 0.004
Zr2 0.500 0.291 0.208
Tl1 0.500 0.725 0.775
Ca1 0.000 0.488 0.512



A geometry-optimized NdGeAu structure, computed with PBE.

The density of states at the Fermi level comes out at 0.16 states/eV per atom. The crystal system is hexagonal. The formation enthalpy at 0 K comes out at -833.0 meV per atom. For the total energy, the calculation gives -30.323 eV per cell.

Unit cell a=4.516 b=4.516 c=7.793 alpha=90.00 beta=90.00 gamma=120.00
Sites, in units of the cell vectors:
Nd1 0.000 0.000 0.505
Nd2 0.000 0.000 0.005
Ge1 0.667 0.333 0.720
Ge2 0.333 0.667 0.220
Au1 0.333 0.667 0.776
Au2 0.667 0.333 0.276



A geometry-optimized La2Si2Ru structure, computed with PBE.

The density of states at the Fermi level comes out at 0.21 states/eV per atom. The crystal system is tetragonal. For the total energy, the calculation gives -65.915 eV per cell.

Unit cell a=6.789 b=6.789 c=4.669 alpha=90.00 beta=90.00 gamma=90.00
Sites, in units of the cell vectors:
La1 0.822 0.322 0.500
La2 0.322 0.178 0.500
La3 0.678 0.822 0.500
La4 0.178 0.678 0.500
Si1 0.872 0.628 0.000
Si2 0.128 0.372 0.000
Si3 0.628 0.128 0.000
Si4 0.372 0.872 0.000
Ru1 0.000 0.000 0.000
Ru2 0.500 0.500 0.000



A geometry-optimized PmCu3As2 structure, computed with PBE.

The density of states at the Fermi level comes out at 0.24 states/eV per atom. The crystal system is monoclinic. The formation enthalpy at 0 K comes out at -482.8 meV per atom. For the total energy, the calculation gives -58.470 eV per cell.

Unit cell a=4.023 b=7.833 c=7.562 alpha=114.99 beta=90.00 gamma=104.88
Sites, in units of the cell vectors:
Cu1 0.594 0.187 0.652
Cu2 0.309 0.617 0.548
Cu3 0.945 0.891 0.596
Cu4 0.406 0.813 0.348
Cu5 0.691 0.383 0.452
Cu6 0.055 0.109 0.404
Pm1 0.860 0.719 0.948
Pm2 0.140 0.281 0.052
As1 0.795 0.591 0.280
As2 0.481 0.962 0.800
As3 0.519 0.038 0.200
As4 0.205 0.409 0.720